No. 1
# Li2Hf2Mg GGA-PBEsol optimized geometry
data_Li2Hf2Mg
_chemical_formula_sum 'Li4 Hf4 Mg2'
_cell_length_a 7.842
_cell_length_b 7.842
_cell_length_c 3.030
_cell_angle_alpha 90.00
_cell_angle_beta 90.00
_cell_angle_gamma 90.00
_space_group_name_H-M_alt 'P 4/m b m'
_space_group_IT_number 127
_space_group_name_Hall '-P 4 2ab'
loop_
_atom_site_label
_atom_site_fract_x
_atom_site_fract_y
_atom_site_fract_z
_atom_site_occupancy
Li1 0.146 0.354 0.000 1
Hf1 0.150 0.650 0.500 1
Mg1 0.000 0.000 0.000 1
# Formation enthalpy at 0 K ... 0.473 eV/atom
# Fermi-level density of states ... 9.0 states/eV/cell
# V ... 18.64 Å³ per atom

=====

No. 2
# ZrCoSe2Br GGA-PBEsol optimized geometry
data_ZrCoSe2Br
_chemical_formula_sum 'Zr1 Co1 Se2 Br1'
_cell_length_a 4.618
_cell_length_b 4.618
_cell_length_c 4.551
_cell_angle_alpha 90.00
_cell_angle_beta 90.00
_cell_angle_gamma 90.00
_space_group_name_H-M_alt 'P 4/m m m'
_space_group_IT_number 123
_space_group_name_Hall '-P 4 2'
loop_
_atom_site_label
_atom_site_fract_x
_atom_site_fract_y
_atom_site_fract_z
_atom_site_occupancy
Zr1 0.000 0.000 0.000 1
Co1 0.500 0.500 0.500 1
Se1 0.000 0.500 0.500 1
Br1 0.500 0.500 0.000 1
# Formation energy without anion corrections ... -0.20 eV/f.u.
# Fermi-level density of states ... 3.2 states/eV/cell
# V ... 19.41 Å³ per atom

=====

no.,calculated density (g cm⁻³),calculated total energy (eV per atom)
1,7.04,-4.8586
2,6.64,-5.3197